1.
Here is an optimized crystal structure of MgAu4Br from the Alexandria database. Energies are from GGA-PBE.

Computed properties:
calculated total energy = -16.93 eV per formula unit
calculated volume = 499.9 Å³ per cell
E_form (uncorrected) = -53 kJ/mol of formula units

a = 7.936 Å, b = 7.936 Å, c = 7.936 Å
α = 90.00°, β = 90.00°, γ = 90.00°
Space group F-43m (No. 216)
Symmetry-distinct sites (fractional):
Mg (0.000, 0.000, 0.000) [4 per cell]
Au (0.125, 0.125, 0.625) [16 per cell]
Br (0.250, 0.250, 0.250) [4 per cell]

2.
Here is an optimized crystal structure of MgAu2Br2 from the Alexandria database. Energies are from GGA-PBE.

Computed properties:
calculated total energy = -10.84 eV per formula unit
excess energy over the best structure of this formula in the dataset = 166 meV/atom
calculated volume = 255.7 Å³ per cell
E_form (uncorrected) = 63 kJ/mol of formula units

a = 4.611 Å, b = 4.611 Å, c = 12.027 Å
α = 90.00°, β = 90.00°, γ = 90.00°
Space group I4/mmm (No. 139)
Symmetry-distinct sites (fractional):
Mg (0.000, 0.000, 0.000) [2 per cell]
Au (0.000, 0.000, 0.392) [4 per cell]
Br (0.000, 0.500, 0.250) [4 per cell]

3.
Here is an optimized crystal structure of MgAu2Br2 from the Alexandria database. Energies are from GGA-PBE.

Computed properties:
calculated total energy = -11.67 eV per formula unit
excess energy over the best structure of this formula in the dataset = 0 meV/atom
calculated volume = 241.4 Å³ per cell
E_form (uncorrected) = -17 kJ/mol of formula units

a = 7.193 Å, b = 7.193 Å, c = 4.667 Å
α = 90.00°, β = 90.00°, γ = 90.00°
Space group P4/mbm (No. 127)
Symmetry-distinct sites (fractional):
Mg (0.000, 0.000, 0.000) [2 per cell]
Au (0.132, 0.368, 0.000) [4 per cell]
Br (0.218, 0.718, 0.500) [4 per cell]

4.
Here is an optimized crystal structure of MgAuBrN2 from the Alexandria database. Energies are from GGA-PBE.

Computed properties:
calculated total energy = -17.72 eV per formula unit
calculated volume = 95.0 Å³ per cell
E_form (uncorrected) = 528 kJ/mol of formula units

a = 4.034 Å, b = 4.034 Å, c = 5.837 Å
α = 90.00°, β = 90.00°, γ = 90.00°
Space group P4/mmm (No. 123)
Symmetry-distinct sites (fractional):
Mg (0.000, 0.000, 0.000) [1 per cell]
Au (0.000, 0.000, 0.500) [1 per cell]
Br (0.500, 0.500, 0.000) [1 per cell]
N (0.000, 0.500, 0.500) [2 per cell]

5.
Here is an optimized crystal structure of Rb2MgAuBr6 from the Alexandria database. Energies are from GGA-PBE.

Computed properties:
calculated total energy = -28.08 eV per formula unit
excess energy over the best structure of this formula in the dataset = 0 meV/atom
calculated volume = 673.5 Å³ per cell
E_form (uncorrected) = -1084 kJ/mol of formula units

a = 8.171 Å, b = 7.894 Å, c = 13.009 Å
α = 90.00°, β = 126.62°, γ = 90.00°
Space group P2_1/c (No. 14)
Symmetry-distinct sites (fractional):
Rb (0.240, 0.034, 0.245) [4 per cell]
Mg (0.000, 0.000, 0.500) [2 per cell]
Au (0.500, 0.000, 0.000) [2 per cell]
Br (0.149, 0.242, 0.459) [4 per cell]
Br (0.255, 0.744, 0.960) [4 per cell]
Br (0.338, 0.029, 0.757) [4 per cell]

6.
Here is an optimized crystal structure of Rb2MgAuBr6 from the Alexandria database. Energies are from GGA-PBE.

Computed properties:
calculated total energy = -27.88 eV per formula unit
excess energy over the best structure of this formula in the dataset = 20 meV/atom
calculated volume = 663.2 Å³ per cell
E_form (uncorrected) = -1065 kJ/mol of formula units

a = 7.857 Å, b = 7.857 Å, c = 10.742 Å
α = 90.00°, β = 90.00°, γ = 90.00°
Space group I4/mmm (No. 139)
Symmetry-distinct sites (fractional):
Rb (0.000, 0.500, 0.250) [4 per cell]
Mg (0.000, 0.000, 0.000) [2 per cell]
Au (0.000, 0.000, 0.500) [2 per cell]
Br (0.000, 0.000, 0.265) [4 per cell]
Br (0.237, 0.237, 0.000) [8 per cell]

7.
Here is an optimized crystal structure of MgAuSeBr2 from the Alexandria database. Energies are from GGA-PBE.

Computed properties:
calculated total energy = -12.02 eV per formula unit
excess energy over the best structure of this formula in the dataset = 0 meV/atom
calculated volume = 139.4 Å³ per cell
E_form (uncorrected) = -31 kJ/mol of formula units

a = 5.096 Å, b = 5.096 Å, c = 5.367 Å
α = 90.00°, β = 90.00°, γ = 90.00°
Space group P4/mmm (No. 123)
Symmetry-distinct sites (fractional):
Mg (0.000, 0.000, 0.000) [1 per cell]
Au (0.500, 0.500, 0.500) [1 per cell]
Se (0.000, 0.000, 0.500) [1 per cell]
Br (0.000, 0.500, 0.000) [2 per cell]

8.
Here is an optimized crystal structure of MgSnAuBr from the Alexandria database. Energies are from GGA-PBE.

Computed properties:
calculated total energy = -12.64 eV per formula unit
excess energy over the best structure of this formula in the dataset = 4 meV/atom
calculated volume = 115.7 Å³ per cell
E_form (uncorrected) = -201 kJ/mol of formula units

a = 3.612 Å, b = 4.486 Å, c = 7.932 Å
α = 77.41°, β = 77.11°, γ = 69.09°
Space group P1 (No. 1)
Symmetry-distinct sites (fractional):
Mg (0.000, 0.000, 0.000) [1 per cell]
Sn (0.501, 0.715, 0.356) [1 per cell]
Au (0.239, 0.345, 0.199) [1 per cell]
Br (0.615, 0.002, 0.762) [1 per cell]